Record 1
# TbCe2Nd | Alexandria | GGA-PBE | relaxed
data_TbCe2Nd
_chemical_formula_sum 'Tb1 Ce2 Nd1'
_symmetry_space_group_name_H-M 'P 1'
_symmetry_Int_Tables_number 1
_cell_length_a 4.937
_cell_length_b 4.937
_cell_length_c 5.127
_cell_angle_alpha 90.00
_cell_angle_beta 90.00
_cell_angle_gamma 90.00
loop_
_symmetry_equiv_pos_as_xyz
'x,y,z'
loop_
_atom_site_label
_atom_site_fract_x
_atom_site_fract_y
_atom_site_fract_z
Tb1 0.000 0.000 0.000
Ce1 0.000 0.500 0.500
Ce2 0.500 0.000 0.500
Nd1 0.500 0.500 0.000
# uncorrected energy = -5.2022 eV/atom
# E_form = 0.46 eV per formula unit

Record 2
# KNaPS4 | Alexandria | GGA-PBE | relaxed
data_KNaPS4
_chemical_formula_sum 'K2 Na2 P2 S8'
_symmetry_space_group_name_H-M 'P 1'
_symmetry_Int_Tables_number 1
_cell_length_a 7.158
_cell_length_b 5.683
_cell_length_c 9.439
_cell_angle_alpha 90.00
_cell_angle_beta 101.92
_cell_angle_gamma 90.00
loop_
_symmetry_equiv_pos_as_xyz
'x,y,z'
loop_
_atom_site_label
_atom_site_fract_x
_atom_site_fract_y
_atom_site_fract_z
K1 0.246 0.250 0.466
K2 0.754 0.750 0.534
Na1 0.237 0.250 0.937
Na2 0.763 0.750 0.063
P1 0.272 0.750 0.188
P2 0.728 0.250 0.812
S1 0.082 0.750 0.321
S2 0.153 0.750 0.977
S3 0.485 0.005 0.242
S4 0.485 0.495 0.242
S5 0.515 0.505 0.758
S6 0.515 0.995 0.758
S7 0.847 0.250 0.023
S8 0.918 0.250 0.679
# uncorrected energy = -4.1600 eV/atom
# ΔE_f (raw) = -0.683 eV per atom

Record 3
# BeRu2Au | Alexandria | GGA-PBE | relaxed
data_BeRu2Au
_chemical_formula_sum 'Be1 Ru2 Au1'
_symmetry_space_group_name_H-M 'P 1'
_symmetry_Int_Tables_number 1
_cell_length_a 8.642
_cell_length_b 8.642
_cell_length_c 8.642
_cell_angle_alpha 18.24
_cell_angle_beta 18.24
_cell_angle_gamma 18.24
loop_
_symmetry_equiv_pos_as_xyz
'x,y,z'
loop_
_atom_site_label
_atom_site_fract_x
_atom_site_fract_y
_atom_site_fract_z
Be1 0.000 0.000 0.000
Ru1 0.262 0.262 0.262
Ru2 0.738 0.738 0.738
Au1 0.500 0.500 0.500
# uncorrected energy = -6.1542 eV/atom
# E_form = 0.94 eV per formula unit

Record 4
# La7Tb12Pm | Alexandria | GGA-PBE | relaxed
data_La7Tb12Pm
_chemical_formula_sum 'La7 Tb12 Pm1'
_symmetry_space_group_name_H-M 'P 1'
_symmetry_Int_Tables_number 1
_cell_length_a 9.884
_cell_length_b 9.884
_cell_length_c 9.884
_cell_angle_alpha 109.47
_cell_angle_beta 109.47
_cell_angle_gamma 109.47
loop_
_symmetry_equiv_pos_as_xyz
'x,y,z'
loop_
_atom_site_label
_atom_site_fract_x
_atom_site_fract_y
_atom_site_fract_z
La1 0.000 0.000 0.500
La2 0.000 0.500 0.000
La3 0.000 0.500 0.500
La4 0.500 0.000 0.000
La5 0.500 0.000 0.500
La6 0.500 0.500 0.000
La7 0.500 0.500 0.500
Tb1 0.000 0.248 0.752
Tb2 0.000 0.752 0.248
Tb3 0.248 0.000 0.752
Tb4 0.248 0.248 0.496
Tb5 0.248 0.496 0.248
Tb6 0.248 0.752 0.000
Tb7 0.496 0.248 0.248
Tb8 0.504 0.752 0.752
Tb9 0.752 0.000 0.248
Tb10 0.752 0.248 0.000
Tb11 0.752 0.504 0.752
Tb12 0.752 0.752 0.504
Pm1 0.000 0.000 0.000
# uncorrected energy = -4.1491 eV/atom
# E_form = 11.82 eV per formula unit

Record 5
# Pm3Sm8Y2 | Alexandria | GGA-PBE | relaxed
data_Pm3Sm8Y2
_chemical_formula_sum 'Pm3 Sm8 Y2'
_symmetry_space_group_name_H-M 'P 1'
_symmetry_Int_Tables_number 1
_cell_length_a 8.862
_cell_length_b 8.862
_cell_length_c 6.224
_cell_angle_alpha 107.53
_cell_angle_beta 107.53
_cell_angle_gamma 83.52
loop_
_symmetry_equiv_pos_as_xyz
'x,y,z'
loop_
_atom_site_label
_atom_site_fract_x
_atom_site_fract_y
_atom_site_fract_z
Pm1 0.000 0.000 0.000
Pm2 0.243 0.757 0.500
Pm3 0.757 0.243 0.500
Sm1 0.086 0.571 0.827
Sm2 0.155 0.155 0.550
Sm3 0.429 0.914 0.173
Sm4 0.446 0.446 0.718
Sm5 0.554 0.554 0.282
Sm6 0.571 0.086 0.827
Sm7 0.845 0.845 0.450
Sm8 0.914 0.429 0.173
Y1 0.287 0.287 0.147
Y2 0.713 0.713 0.853
# uncorrected energy = -4.8328 eV/atom
# E_form = 2.11 eV per formula unit

Record 6
# Sm5YPb5 | Alexandria | GGA-PBE | relaxed
data_Sm5YPb5
_chemical_formula_sum 'Sm5 Y1 Pb5'
_symmetry_space_group_name_H-M 'P 1'
_symmetry_Int_Tables_number 1
_cell_length_a 8.620
_cell_length_b 8.620
_cell_length_c 7.511
_cell_angle_alpha 102.83
_cell_angle_beta 102.83
_cell_angle_gamma 43.29
loop_
_symmetry_equiv_pos_as_xyz
'x,y,z'
loop_
_atom_site_label
_atom_site_fract_x
_atom_site_fract_y
_atom_site_fract_z
Sm1 0.000 0.000 0.000
Sm2 0.334 0.334 0.171
Sm3 0.337 0.337 0.674
Sm4 0.663 0.663 0.326
Sm5 0.666 0.666 0.829
Y1 0.000 0.000 0.500
Pb1 0.166 0.166 0.837
Pb2 0.167 0.167 0.339
Pb3 0.500 0.500 0.500
Pb4 0.833 0.833 0.661
Pb5 0.834 0.834 0.163
# uncorrected energy = -4.7370 eV/atom
# E_form = -3.51 eV per formula unit